P.
{
  "formula": "ZrFeCuBi",
  "functional": "PBE",
  "state": "optimized geometry",
  "lattice_angstrom": [[-4.657, -0.152, 0.546], [-2.256, 3.637, 1.920], [-2.762, 2.711, -2.651]],
  "species": ["Cu", "Fe", "Bi", "Zr"],
  "fractional_positions": [[0.500, 0.500, 0.500], [0.750, 0.750, 0.750], [0.000, 0.000, 0.000], [0.250, 0.250, 0.250]]
}


Q.
{
  "formula": "ZrFeCuBi",
  "functional": "PBE",
  "state": "optimized geometry",
  "lattice_angstrom": [[-1.301, 2.449, 3.637], [-1.244, 4.371, -0.512], [-4.384, 1.203, 0.498]],
  "species": ["Fe", "Cu", "Zr", "Bi"],
  "fractional_positions": [[0.750, 0.750, 0.750], [0.250, 0.250, 0.250], [0.500, 0.500, 0.500], [0.000, 0.000, 0.000]]
}


Ranked by calculated energy, most stable first: Q, P.


P.
{
  "formula": "CuAg4",
  "functional": "PBE",
  "state": "optimized geometry",
  "lattice_angstrom": [[-4.874, -1.051, -0.478], [-3.798, -2.913, 1.477], [-0.546, 8.755, 8.639]],
  "species": ["Ag", "Ag", "Ag", "Ag", "Ag", "Ag", "Ag", "Ag", "Cu", "Cu"],
  "fractional_positions": [[0.594, 0.594, 0.715], [0.500, 0.500, 0.000], [0.000, 0.000, 0.500], [0.406, 0.406, 0.285], [0.885, 0.885, 0.809], [0.115, 0.115, 0.191], [0.705, 0.705, 0.397], [0.295, 0.295, 0.603], [0.200, 0.200, 0.914], [0.800, 0.800, 0.086]]
}


Q.
{
  "formula": "CuAg4",
  "functional": "PBE",
  "state": "optimized geometry",
  "lattice_angstrom": [[5.247, 1.703, 5.268], [1.981, 5.413, 4.996], [-4.396, -5.194, -3.447]],
  "species": ["Ag", "Ag", "Ag", "Ag", "Cu"],
  "fractional_positions": [[0.803, 0.803, 0.000], [0.197, 0.197, 0.000], [0.405, 0.405, 0.000], [0.595, 0.595, 0.000], [0.000, 0.000, 0.000]]
}


Ranked by calculated energy, most stable first: P, Q.


P.
{
  "formula": "NaSiGeIr",
  "functional": "PBE",
  "state": "optimized geometry",
  "lattice_angstrom": [[0.000, 3.120, 3.120], [3.120, 0.000, 3.120], [3.120, 3.120, 0.000]],
  "species": ["Na", "Ge", "Si", "Ir"],
  "fractional_positions": [[0.750, 0.750, 0.750], [0.000, 0.000, 0.000], [0.500, 0.500, 0.500], [0.250, 0.250, 0.250]]
}


Q.
{
  "formula": "NaSiGeIr",
  "functional": "PBE",
  "state": "optimized geometry",
  "lattice_angstrom": [[-3.772, -1.467, 2.014], [-3.937, 2.078, -0.787], [-3.201, -2.069, -2.430]],
  "species": ["Na", "Si", "Ge", "Ir"],
  "fractional_positions": [[0.750, 0.750, 0.750], [0.500, 0.500, 0.500], [0.250, 0.250, 0.250], [0.000, 0.000, 0.000]]
}


Ranked by calculated energy, most stable first: P, Q.


P.
{
  "formula": "ZnCdTeO",
  "functional": "PBE",
  "state": "optimized geometry",
  "lattice_angstrom": [[-3.001, -1.852, -2.448], [-1.533, -2.061, 3.439], [-5.245, 6.465, 1.538]],
  "species": ["O", "O", "Te", "Te", "Zn", "Zn", "Cd", "Cd"],
  "fractional_positions": [[0.750, 0.750, 0.465], [0.250, 0.250, 0.535], [0.250, 0.250, 0.310], [0.750, 0.750, 0.690], [0.250, 0.250, 0.760], [0.750, 0.750, 0.240], [0.250, 0.750, 0.000], [0.750, 0.250, 0.000]]
}


Q.
{
  "formula": "ZnCdTeO",
  "functional": "PBE",
  "state": "optimized geometry",
  "lattice_angstrom": [[-2.849, 2.829, 0.801], [-1.489, -2.350, 3.003], [6.569, 4.659, 6.904]],
  "species": ["Zn", "Zn", "Cd", "Cd", "Te", "Te", "O", "O"],
  "fractional_positions": [[0.750, 0.750, 0.115], [0.250, 0.250, 0.885], [0.750, 0.750, 0.577], [0.250, 0.250, 0.423], [0.750, 0.750, 0.851], [0.250, 0.250, 0.149], [0.750, 0.250, 0.500], [0.250, 0.750, 0.500]]
}


Ranked by calculated energy, most stable first: Q, P.


P.
{
  "formula": "LaGdSn",
  "functional": "PBE",
  "state": "optimized geometry",
  "lattice_angstrom": [[5.538, 0.000, 0.000], [-2.769, 4.796, 0.000], [0.000, 0.000, 6.698]],
  "species": ["Gd", "Gd", "La", "La", "Sn", "Sn"],
  "fractional_positions": [[0.667, 0.333, 0.487], [0.333, 0.667, 0.987], [0.000, 0.000, 0.737], [0.000, 0.000, 0.237], [0.333, 0.667, 0.486], [0.667, 0.333, 0.986]]
}


Q.
{
  "formula": "LaGdSn",
  "functional": "PBE",
  "state": "optimized geometry",
  "lattice_angstrom": [[8.653, 0.000, 0.000], [-4.326, 7.493, 0.000], [0.000, 0.000, 4.396]],
  "species": ["La", "La", "La", "Gd", "Gd", "Gd", "Sn", "Sn", "Sn"],
  "fractional_positions": [[0.000, 0.272, 0.500], [0.272, 0.000, 0.500], [0.728, 0.728, 0.500], [0.407, 0.407, 0.000], [0.000, 0.593, 0.000], [0.593, 0.000, 0.000], [0.333, 0.667, 0.500], [0.667, 0.333, 0.500], [0.000, 0.000, 0.000]]
}


Ranked by calculated energy, most stable first: P, Q.


P.
{
  "formula": "Pt",
  "functional": "PBE",
  "state": "optimized geometry",
  "lattice_angstrom": [[-5.089, 4.586, -1.026], [-0.217, -1.741, -6.701], [-2.358, -2.457, 0.715]],
  "species": ["Pt", "Pt", "Pt", "Pt", "Pt", "Pt", "Pt", "Pt", "Pt", "Pt"],
  "fractional_positions": [[0.000, 0.000, 0.000], [0.500, 0.500, 0.000], [0.648, 0.852, 0.000], [0.148, 0.648, 0.000], [0.351, 0.851, 0.500], [0.352, 0.148, 0.000], [0.649, 0.149, 0.500], [0.149, 0.351, 0.500], [0.851, 0.649, 0.500], [0.852, 0.352, 0.000]]
}


Q.
{
  "formula": "Pt",
  "functional": "PBE",
  "state": "optimized geometry",
  "lattice_angstrom": [[-2.775, 0.000, 0.000], [0.000, -2.775, 0.000], [1.387, 1.387, 2.014]],
  "species": ["Pt"],
  "fractional_positions": [[0.000, 0.000, 0.000]]
}


Ranked by calculated energy, most stable first: Q, P.